[1]
First-principles (PBE) data for a relaxed structure of KH2I3O9, as listed in Alexandria via LeMat-Bulk.

Cell: 8.313 8.331 8.338 Å, 71.43 60.21 66.99°
Fractional positions:
K: 0.000 0.000 0.000
K: 0.484 0.558 0.543
H: 0.285 0.759 0.244
H: 0.606 0.804 0.632
H: 0.718 0.260 0.305
H: 0.876 0.758 0.913
I: 0.027 0.004 0.509
I: 0.032 0.477 0.571
I: 0.461 0.085 0.966
I: 0.467 0.537 0.026
I: 0.474 0.090 0.463
I: 0.987 0.465 0.087
O: 0.003 0.255 0.670
O: 0.072 0.823 0.397
O: 0.100 0.508 0.734
O: 0.211 0.146 0.149
O: 0.241 0.636 0.002
O: 0.258 0.921 0.532
O: 0.283 0.412 0.384
O: 0.392 0.058 0.800
O: 0.426 0.726 0.145
O: 0.497 0.306 0.868
O: 0.576 0.092 0.214
O: 0.633 0.620 0.796
O: 0.633 0.853 0.496
O: 0.658 0.195 0.440
O: 0.813 0.364 0.110
O: 0.843 0.709 0.049
O: 0.862 0.937 0.749
O: 0.899 0.465 0.334

Summary:
calculated density = 4.124 g/cm3
calculated volume = 15.19 Å³ per atom
raw total energy = -4.460 eV per atom
DOS at the Fermi energy = 0.00 states/eV per atom
space group = P1 (1)

[2]
First-principles (PBE) data for a relaxed structure of CsSnHg2F8, as listed in Alexandria via LeMat-Bulk.

Cell: 5.239 5.551 8.022 Å, 92.51 91.02 91.83°
Fractional positions:
Cs: 0.000 0.000 0.000
Sn: 0.000 0.000 0.500
Hg: 0.485 0.483 0.755
Hg: 0.515 0.517 0.245
F: 0.159 0.796 0.672
F: 0.161 0.795 0.318
F: 0.304 0.243 0.513
F: 0.489 0.265 0.014
F: 0.511 0.735 0.986
F: 0.696 0.757 0.487
F: 0.839 0.205 0.682
F: 0.841 0.204 0.328

Summary:
calculated density = 5.738 g/cm3
calculated volume = 19.41 Å³ per atom
energy relative to the elements, uncorrected = -23.83 eV/f.u.
DOS at the Fermi energy = 0.17 states/eV per atom
space group = P-1 (2)

[3]
First-principles (PBE) data for a relaxed structure of PmPrNd, as listed in Alexandria via LeMat-Bulk.

Cell: 6.840 6.840 6.840 Å, 117.23 84.63 129.50°
Fractional positions:
Pm: 0.165 0.250 0.415
Pm: 0.835 0.750 0.585
Pr: 0.172 0.753 0.919
Pr: 0.834 0.253 0.081
Nd: 0.501 0.001 0.500
Nd: 0.501 0.501 0.000

Summary:
calculated density = 6.794 g/cm3
calculated volume = 35.05 Å³ per atom
DOS at the Fermi energy = 1.43 states/eV per atom
space group = Ima2 (46)
relative energy among the computed polymorphs = 42 meV/atom

[4]
First-principles (PBE) data for a relaxed structure of SrZrCd2, as listed in Alexandria via LeMat-Bulk.

Cell: 5.160 5.160 6.954 Å, 99.40 99.40 39.49°
Fractional positions:
Sr: 0.000 0.000 0.000
Zr: 0.500 0.500 0.500
Cd: 0.242 0.242 0.692
Cd: 0.758 0.758 0.308

Summary:
calculated density = 5.781 g/cm3
calculated volume = 28.99 Å³ per atom
raw total energy = -2.918 eV per atom
DOS at the Fermi energy = 0.97 states/eV per atom
space group = C2/m (12)